Density functional theory data (PBE) for a relaxed LiPb3Au crystal.

## Properties
total magnetization	0.00	μB/atom
calculated density	10.3	Mg/m³
calculated formation energy	0.21	eV per atom
total energy	-3.05	eV per atom

Structure (CIF):
```
data_LiPb3Au
_chemical_formula_sum 'Li1 Pb3 Au1'
_symmetry_space_group_name_H-M 'P m -3 m'
_symmetry_Int_Tables_number 221
_symmetry_space_group_name_Hall '-P 4 2 3'
_cell_length_a 5.108
_cell_length_b 5.108
_cell_length_c 5.108
_cell_angle_alpha 90.00
_cell_angle_beta 90.00
_cell_angle_gamma 90.00
loop_
_atom_site_label
_atom_site_type_symbol
_atom_site_fract_x
_atom_site_fract_y
_atom_site_fract_z
_atom_site_occupancy
Li1 Li 0.000 0.000 0.000 1
Pb1 Pb 0.000 0.000 0.500 1
Au1 Au 0.500 0.500 0.500 1
```

***

Density functional theory data (PBE) for a relaxed LiPb2Au2 crystal.

## Properties
total magnetization	0.00	μB/atom
calculated density	9.6	Mg/m³
calculated formation energy	-0.01	eV per atom
total energy	-3.19	eV per atom

Structure (CIF):
```
data_LiPb2Au2
_chemical_formula_sum 'Li2 Pb4 Au4'
_symmetry_space_group_name_H-M 'I 4/m m m'
_symmetry_Int_Tables_number 139
_symmetry_space_group_name_Hall '-I 4 2'
_cell_length_a 5.098
_cell_length_b 5.098
_cell_length_c 10.894
_cell_angle_alpha 90.00
_cell_angle_beta 90.00
_cell_angle_gamma 90.00
loop_
_atom_site_label
_atom_site_type_symbol
_atom_site_fract_x
_atom_site_fract_y
_atom_site_fract_z
_atom_site_occupancy
Li1 Li 0.000 0.000 0.000 1
Pb1 Pb 0.000 0.500 0.250 1
Au1 Au 0.000 0.000 0.377 1
```

***

Density functional theory data (PBE) for a relaxed Li2PdPbAu4 crystal.

## Properties
total magnetization	0.00	μB/atom
calculated density	12.7	Mg/m³
calculated formation energy	-0.30	eV per atom
total energy	-3.53	eV per atom

Structure (CIF):
```
data_Li2PdPbAu4
_chemical_formula_sum 'Li6 Pd3 Pb3 Au12'
_symmetry_space_group_name_H-M 'R -3 m'
_symmetry_Int_Tables_number 166
_symmetry_space_group_name_Hall '-R 3 2"'
_cell_length_a 4.6281
_cell_length_b 4.6281
_cell_length_c 23.6147
_cell_angle_alpha 90.00
_cell_angle_beta 90.00
_cell_angle_gamma 120.00
loop_
_atom_site_label
_atom_site_type_symbol
_atom_site_fract_x
_atom_site_fract_y
_atom_site_fract_z
_atom_site_occupancy
Li1 Li 0.0000 0.0000 0.2439 1
Pd1 Pd 0.0000 0.0000 0.5000 1
Pb1 Pb 0.0000 0.0000 0.0000 1
Au1 Au 0.0000 0.0000 0.1302 1
Au2 Au 0.0000 0.0000 0.3845 1
```

***

Density functional theory data (PBE) for a relaxed LiPdPbAu crystal.

## Properties
total magnetization	0.00	μB/atom
calculated density	11.7	Mg/m³
calculated formation energy	-0.32	eV per atom
total energy	-3.84	eV per atom

Structure (CIF):
```
data_LiPdPbAu
_chemical_formula_sum 'Li2 Pd2 Pb2 Au2'
_symmetry_space_group_name_H-M 'I -4 m 2'
_symmetry_Int_Tables_number 119
_symmetry_space_group_name_Hall 'I -4 -2'
_cell_length_a 4.280
_cell_length_b 4.280
_cell_length_c 8.025
_cell_angle_alpha 90.00
_cell_angle_beta 90.00
_cell_angle_gamma 90.00
loop_
_atom_site_label
_atom_site_type_symbol
_atom_site_fract_x
_atom_site_fract_y
_atom_site_fract_z
_atom_site_occupancy
Li1 Li 0.000 0.000 0.000 1
Pd1 Pd 0.000 0.500 0.750 1
Pb1 Pb 0.000 0.000 0.500 1
Au1 Au 0.000 0.500 0.250 1
```

***

Please write out number 3 again, unchanged.
Density functional theory data (PBE) for a relaxed Li2PdPbAu4 crystal.

## Properties
total magnetization	0.00	μB/atom
calculated density	12.7	Mg/m³
calculated formation energy	-0.30	eV per atom
total energy	-3.53	eV per atom

Structure (CIF):
```
data_Li2PdPbAu4
_chemical_formula_sum 'Li6 Pd3 Pb3 Au12'
_symmetry_space_group_name_H-M 'R -3 m'
_symmetry_Int_Tables_number 166
_symmetry_space_group_name_Hall '-R 3 2"'
_cell_length_a 4.6281
_cell_length_b 4.6281
_cell_length_c 23.6147
_cell_angle_alpha 90.00
_cell_angle_beta 90.00
_cell_angle_gamma 120.00
loop_
_atom_site_label
_atom_site_type_symbol
_atom_site_fract_x
_atom_site_fract_y
_atom_site_fract_z
_atom_site_occupancy
Li1 Li 0.0000 0.0000 0.2439 1
Pd1 Pd 0.0000 0.0000 0.5000 1
Pb1 Pb 0.0000 0.0000 0.0000 1
Au1 Au 0.0000 0.0000 0.1302 1
Au2 Au 0.0000 0.0000 0.3845 1
```